Record 1
{"formula": "BaAs2Au", "functional": "PBE", "state": "relaxed", "lattice_angstrom": [[4.926, 0.000, 0.000], [0.000, 4.751, 0.000], [-0.103, 0.000, 5.014]], "species": ["Ba", "As", "As", "Au"], "frac_coords": [[0.000, 0.000, 0.000], [0.403, 0.500, 0.735], [0.539, 0.000, 0.511], [0.528, 0.500, 0.225]], "e_form_ev_per_atom": -0.528, "rho_g_cm3": 6.85}


Record 2
{"formula": "BaAs2Au3", "functional": "PBE", "state": "relaxed", "lattice_angstrom": [[10.367, -2.423, 0.000], [10.367, 2.423, 0.000], [-0.842, 0.000, 6.242]], "species": ["Ba", "Ba", "As", "As", "As", "As", "Au", "Au", "Au", "Au", "Au", "Au"], "frac_coords": [[0.118, 0.118, 0.276], [0.882, 0.882, 0.724], [0.228, 0.228, 0.787], [0.461, 0.461, 0.150], [0.539, 0.539, 0.850], [0.772, 0.772, 0.213], [0.036, 0.036, 0.722], [0.278, 0.278, 0.415], [0.338, 0.338, 0.030], [0.662, 0.662, 0.970], [0.722, 0.722, 0.585], [0.964, 0.964, 0.278]], "e_form_ev_per_atom": -0.361, "rho_g_cm3": 9.30}


Record 3
{"formula": "BaAs2Au", "functional": "PBE", "state": "relaxed", "lattice_angstrom": [[-2.372, 2.372, 4.518], [2.372, -2.372, 4.518], [2.372, 2.372, -4.518]], "species": ["Ba", "As", "As", "Au"], "frac_coords": [[0.000, 0.000, 0.000], [0.250, 0.750, 0.500], [0.500, 0.500, 0.000], [0.750, 0.250, 0.500]], "e_form_ev_per_atom": -0.150, "rho_g_cm3": 7.91}


Record 4
{"formula": "BaAs2Au2", "functional": "PBE", "state": "relaxed", "lattice_angstrom": [[9.541, 0.000, 0.000], [0.000, 4.563, 0.000], [0.000, 0.000, 11.475]], "species": ["Ba", "Ba", "Ba", "Ba", "As", "As", "As", "As", "As", "As", "As", "As", "Au", "Au", "Au", "Au", "Au", "Au", "Au", "Au"], "frac_coords": [[0.245, 0.250, 0.167], [0.255, 0.750, 0.667], [0.745, 0.250, 0.333], [0.755, 0.750, 0.833], [0.046, 0.750, 0.345], [0.129, 0.750, 0.949], [0.371, 0.250, 0.449], [0.454, 0.250, 0.845], [0.546, 0.750, 0.155], [0.629, 0.750, 0.551], [0.871, 0.250, 0.051], [0.954, 0.250, 0.655], [0.048, 0.250, 0.863], [0.099, 0.250, 0.456], [0.401, 0.750, 0.956], [0.452, 0.750, 0.363], [0.548, 0.250, 0.637], [0.599, 0.250, 0.044], [0.901, 0.750, 0.544], [0.952, 0.750, 0.137]], "e_form_ev_per_atom": -0.548, "rho_g_cm3": 9.06}


Record 5
{"formula": "Ba2As3Au", "functional": "PBE", "state": "relaxed", "lattice_angstrom": [[0.000, 4.837, 7.722], [4.693, 0.000, 7.722], [4.693, 4.837, 0.000]], "species": ["Ba", "Ba", "Ba", "Ba", "As", "As", "As", "As", "As", "As", "Au", "Au"], "frac_coords": [[0.237, 0.763, 0.763], [0.250, 0.250, 0.250], [0.750, 0.750, 0.750], [0.763, 0.237, 0.237], [0.162, 0.162, 0.838], [0.190, 0.644, 0.356], [0.356, 0.810, 0.190], [0.644, 0.190, 0.810], [0.810, 0.356, 0.644], [0.838, 0.838, 0.162], [0.327, 0.327, 0.673], [0.673, 0.673, 0.327]], "e_form_ev_per_atom": -0.803, "rho_g_cm3": 6.60}


Record 6
{"formula": "Ba4AsAu2", "functional": "PBE", "state": "relaxed", "lattice_angstrom": [[-3.220, 3.220, 7.894], [3.220, -3.220, 7.894], [3.220, 3.220, -7.894]], "species": ["Ba", "Ba", "Ba", "Ba", "As", "Au", "Au"], "frac_coords": [[0.000, 0.500, 0.500], [0.202, 0.202, 0.000], [0.500, 0.000, 0.500], [0.798, 0.798, 0.000], [0.000, 0.000, 0.000], [0.409, 0.409, 0.000], [0.591, 0.591, 0.000]], "e_form_ev_per_atom": -0.619, "rho_g_cm3": 5.16}